[1]
Here is an optimized crystal structure of Li2PmAg from Alexandria via LeMat-Bulk. Energies are from PBE-GGA.

Values from the calculation:
The space group is No. 225. The value obtained for the energy above the most stable polymorph in this dataset is 125 meV per atom. Its formation energy is 0.0330 eV/atom. The crystal system is cubic.

abc: 4.901 4.901 4.901
angles: 60.00 60.00 60.00
Fractional coordinates of all 4 atoms:
Li1 0.250 0.250 0.250
Li2 0.750 0.750 0.750
Pm1 0.000 0.000 0.000
Ag1 0.500 0.500 0.500



[2]
Here is an optimized crystal structure of TbPm3Y from Alexandria via LeMat-Bulk. Energies are from PBE-GGA.

Values from the calculation:
The space group is No. 12. The value obtained for the energy above the most stable polymorph in this dataset is 0 meV per atom. Its formation energy is 0.0139 eV/atom. The crystal system is monoclinic.

abc: 6.257 6.257 11.459
angles: 90.14 90.14 48.27
Fractional coordinates of all 10 atoms:
Tb1 0.050 0.050 0.150
Tb2 0.950 0.950 0.850
Pm1 0.249 0.249 0.750
Pm2 0.350 0.350 0.050
Pm3 0.450 0.450 0.350
Pm4 0.550 0.550 0.650
Pm5 0.650 0.650 0.950
Pm6 0.751 0.751 0.250
Y1 0.150 0.150 0.450
Y2 0.850 0.850 0.550



[3]
Here is an optimized crystal structure of AsBrCl2 from Alexandria via LeMat-Bulk. Energies are from PBE-GGA.

Values from the calculation:
The space group is No. 47. The value obtained for the raw formation energy is 0.383 eV/atom. The value obtained for the energy above the most stable polymorph in this dataset is 1002 meV per atom. The crystal system is orthorhombic.

abc: 3.587 4.181 7.274
angles: 90.00 90.00 90.00
Fractional coordinates of all 4 atoms:
As1 0.000 0.000 0.000
Br1 0.500 0.000 0.500
Cl1 0.000 0.500 0.500
Cl2 0.500 0.500 0.000



[4]
Here is an optimized crystal structure of Nd4MgHg from Alexandria via LeMat-Bulk. Energies are from PBE-GGA.

Values from the calculation:
The space group is No. 123. Its formation energy is 0.1259 eV/atom. The crystal system is tetragonal.

abc: 5.187 5.187 7.889
angles: 90.00 90.00 90.00
Fractional coordinates of all 6 atoms:
Nd1 0.000 0.500 0.241
Nd2 0.000 0.500 0.759
Nd3 0.500 0.000 0.241
Nd4 0.500 0.000 0.759
Mg1 0.000 0.000 0.500
Hg1 0.500 0.500 0.000



[5]
Here is an optimized crystal structure of PrCoH4 from Alexandria via LeMat-Bulk. Energies are from PBE-GGA.

Values from the calculation:
The space group is No. 15. The value obtained for the total DFT energy (no corrections) is -0.3321 Ry per atom. The crystal system is monoclinic.

abc: 5.671 5.671 4.785
angles: 114.95 114.95 49.91
Fractional coordinates of all 12 atoms:
Pr1 0.250 0.750 0.750
Pr2 0.750 0.250 0.250
Co1 0.000 0.500 0.000
Co2 0.500 0.000 0.500
H1 0.167 0.669 0.168
H2 0.250 0.252 0.750
H3 0.252 0.250 0.250
H4 0.331 0.833 0.332
H5 0.669 0.167 0.668
H6 0.748 0.750 0.750
H7 0.750 0.748 0.250
H8 0.833 0.331 0.832



[6]
Here is an optimized crystal structure of PtCO2F from Alexandria via LeMat-Bulk. Energies are from PBE-GGA.

Values from the calculation:
The space group is No. 123. The value obtained for the raw formation energy is 1.201 eV/atom. The crystal system is tetragonal.

abc: 3.909 3.909 4.234
angles: 90.00 90.00 90.00
Fractional coordinates of all 5 atoms:
Pt1 0.000 0.000 0.000
C1 0.500 0.500 0.500
O1 0.000 0.500 0.000
O2 0.500 0.000 0.000
F1 0.000 0.000 0.500



[7]
Here is an optimized crystal structure of Np3As2H2 from Alexandria via LeMat-Bulk. Energies are from PBE-GGA.

Values from the calculation:
The space group is No. 63. The value obtained for the total DFT energy (no corrections) is -0.6044 Ry per atom. The crystal system is orthorhombic.

abc: 8.909 8.909 6.471
angles: 90.00 90.00 154.34
Fractional coordinates of all 14 atoms:
Np1 0.067 0.933 0.562
Np2 0.067 0.933 0.938
Np3 0.292 0.708 0.750
Np4 0.708 0.292 0.250
Np5 0.933 0.067 0.062
Np6 0.933 0.067 0.438
As1 0.333 0.667 0.250
As2 0.459 0.541 0.750
As3 0.541 0.459 0.250
As4 0.667 0.333 0.750
H1 0.188 0.812 0.067
H2 0.188 0.812 0.433
H3 0.812 0.188 0.567
H4 0.812 0.188 0.933



[8]
Here is an optimized crystal structure of La2Pr3Tl4 from Alexandria via LeMat-Bulk. Energies are from PBE-GGA.

Values from the calculation:
The space group is No. 164. The value obtained for the energy above the most stable polymorph in this dataset is 0 meV per atom. Its formation energy is -0.3265 eV/atom. The crystal system is trigonal.

abc: 5.528 5.528 10.822
angles: 90.00 90.00 120.00
Fractional coordinates of all 9 atoms:
La1 0.333 0.667 0.282
La2 0.667 0.333 0.718
Pr1 0.000 0.000 0.500
Pr2 0.333 0.667 0.923
Pr3 0.667 0.333 0.077
Tl1 0.000 0.000 0.150
Tl2 0.000 0.000 0.850
Tl3 0.333 0.667 0.602
Tl4 0.667 0.333 0.398



[9]
Here is an optimized crystal structure of Tb2Nd4Cd from Alexandria via LeMat-Bulk. Energies are from PBE-GGA.

Values from the calculation:
The space group is No. 12. Its formation energy is 0.0279 eV/atom. The crystal system is monoclinic.

abc: 8.605 8.605 8.672
angles: 116.63 116.63 23.94
Fractional coordinates of all 7 atoms:
Tb1 0.217 0.217 0.139
Tb2 0.783 0.783 0.861
Nd1 0.083 0.083 0.703
Nd2 0.370 0.370 0.612
Nd3 0.630 0.630 0.388
Nd4 0.917 0.917 0.297
Cd1 0.000 0.000 0.000



[10]
Here is an optimized crystal structure of Hf12PaSb6 from Alexandria via LeMat-Bulk. Energies are from PBE-GGA.

Values from the calculation:
The space group is No. 148. The value obtained for the raw formation energy is -0.235 eV/atom. The crystal system is trigonal.

abc: 8.424 8.424 8.424
angles: 109.33 109.33 109.33
Fractional coordinates of all 19 atoms:
Hf1 0.007 0.310 0.879
Hf2 0.121 0.993 0.690
Hf3 0.140 0.400 0.314
Hf4 0.310 0.879 0.007
Hf5 0.314 0.140 0.400
Hf6 0.400 0.314 0.140
Hf7 0.600 0.686 0.860
Hf8 0.686 0.860 0.600
Hf9 0.690 0.121 0.993
Hf10 0.860 0.600 0.686
Hf11 0.879 0.007 0.310
Hf12 0.993 0.690 0.121
Pa1 0.000 0.000 0.000
Sb1 0.208 0.370 0.672
Sb2 0.328 0.792 0.630
Sb3 0.370 0.672 0.208
Sb4 0.630 0.328 0.792
Sb5 0.672 0.208 0.370
Sb6 0.792 0.630 0.328



[11]
Here is an optimized crystal structure of ZnGa2PdO from Alexandria via LeMat-Bulk. Energies are from PBE-GGA.

Values from the calculation:
The space group is No. 123. The value obtained for the raw formation energy is -0.285 eV/atom. The crystal system is tetragonal.

abc: 4.477 4.477 3.812
angles: 90.00 90.00 90.00
Fractional coordinates of all 5 atoms:
Zn1 0.000 0.000 0.000
Ga1 0.000 0.500 0.500
Ga2 0.500 0.000 0.500
Pd1 0.500 0.500 0.000
O1 0.000 0.000 0.500



[12]
Here is an optimized crystal structure of ZnCrMo2 from Alexandria via LeMat-Bulk. Energies are from PBE-GGA.

Values from the calculation:
The space group is No. 12. Its formation energy is 0.2047 eV/atom. The crystal system is monoclinic.

abc: 5.067 5.067 2.624
angles: 98.87 98.87 116.31
Fractional coordinates of all 4 atoms:
Zn1 0.000 0.000 0.000
Cr1 0.500 0.500 0.000
Mo1 0.000 0.500 0.500
Mo2 0.500 0.000 0.500



| no. | DOS(E_F) (states/eV/f.u.) |
| --- | --- |
| 1 | 5.21 |
| 2 | 7.00 |
| 3 | 1.93 |
| 4 | 10.16 |
| 5 | 1.88 |
| 6 | 3.86 |
| 7 | 11.74 |
| 8 | 11.77 |
| 9 | 9.15 |
| 10 | 10.00 |
| 11 | 1.61 |
| 12 | 2.43 |